VASP calculation (PBEsol) on an optimized crystal structure of CsTiMo2C.

The calculation puts the density of states at the Fermi level at 4.87 states/eV per cell. The calculation puts the formation energy at 4028 meV per atom. The calculation puts the total energy at -4.460 eV/atom.

The structure belongs to space group P4/mmm (No. 123); the cell edges are 4.818, 4.818 and 4.829 Å and the angles 90.00°, 90.00° and 90.00°. The asymmetric unit holds Cs at (0.000, 0.000, 0.000), Ti at (0.000, 0.000, 0.500), Mo at (0.000, 0.500, 0.000) and C at (0.500, 0.500, 0.500).

=====

VASP calculation (PBEsol) on an optimized crystal structure of KSb2Ru.

The value obtained for the uncorrected formation energy is 0.56 eV/atom. The offset from the most stable computed form is 721 meV per atom. The calculation puts the density of states at the Fermi level at 7.02 states/eV per cell. The calculation puts the total energy at -4.543 eV/atom.

The structure belongs to space group C2/m (No. 12); the cell edges are 6.226, 8.489 and 3.294 Å and the angles 90.00°, 90.76° and 90.00°. The asymmetric unit holds K at (0.000, 0.000, 0.000), Sb at (0.250, 0.250, 0.500) and Ru at (0.000, 0.500, 0.000).

=====

VASP calculation (PBEsol) on an optimized crystal structure of Te2Mo2WS4.

The value obtained for the uncorrected formation energy is -0.64 eV/atom. The calculation puts the density of states at the Fermi level at 0.63 states/eV per cell. The calculation puts the total energy at -7.525 eV/atom.

The structure belongs to space group P3m1 (No. 156); the cell edges are 3.2478, 3.2478 and 20.5570 Å and the angles 90.00°, 90.00° and 120.00°. The asymmetric unit holds Te at (0.0000, 0.0000, 0.0000), Te at (0.0000, 0.0000, 0.1857), Mo at (0.3333, 0.6667, 0.0928), Mo at (0.3333, 0.6667, 0.7230), W at (0.0000, 0.0000, 0.4201), S at (0.0000, 0.0000, 0.6490), S at (0.0000, 0.0000, 0.7969), S at (0.3333, 0.6667, 0.3455) and S at (0.3333, 0.6667, 0.4947).

=====

| no. | calculated density (g/cm3) |
| --- | --- |
| 1 | 5.70 |
| 2 | 7.32 |
| 3 | 6.71 |